## w
The following is a PBE calculation of a geometry-optimized KCuN2 structure, from Alexandria.

Cell and atoms, written as extended XYZ:
```
4
Lattice="2.164 0.000 7.186 -1.082 1.874 7.186 -1.082 -1.874 7.186" Properties=species:S:1:pos:R:3 pbc="T T T"
N 0.000 0.000 1.807
N 0.000 0.000 19.752
K 0.000 0.000 10.779
Cu 0.000 0.000 0.000
```

***

## x
The following is a PBE calculation of a geometry-optimized KCuN2 structure, from Alexandria.

Cell and atoms, written as extended XYZ:
```
8
Lattice="-5.648 1.557 -0.414 -0.272 -2.410 -5.349 -3.966 -3.673 -1.367" Properties=species:S:1:pos:R:3 pbc="T T T"
N -5.349 -0.027 -1.328
N -7.921 -1.430 -1.471
N -5.157 -2.736 -2.435
N -6.722 -0.892 -4.093
Cu -6.287 -1.271 -2.332
Cu 0.000 0.000 0.000
K -2.960 -0.427 -2.882
K -3.599 -3.255 -4.799
```

***

## y
The following is a PBE calculation of a geometry-optimized KCuN2 structure, from Alexandria.

Cell and atoms, written as extended XYZ:
```
4
Lattice="3.702 3.169 4.947 5.413 3.662 2.349 2.957 5.524 2.994" Properties=species:S:1:pos:R:3 pbc="T T T"
Cu 6.036 6.178 5.145
N 1.498 1.534 1.277
N 10.573 10.822 9.013
K 0.000 0.000 0.000
```

***

## z
The following is a PBE calculation of a geometry-optimized KCuN2 structure, from Alexandria.

Cell and atoms, written as extended XYZ:
```
4
Lattice="0.000 2.933 2.933 2.933 0.000 2.933 2.933 2.933 0.000" Properties=species:S:1:pos:R:3 pbc="T T T"
N 1.466 1.466 1.466
N 4.399 4.399 4.399
Cu 2.933 2.933 2.933
K 0.000 0.000 0.000
```

***

Stability check: which of them is least stable? z.

***

## w
The following is a PBE calculation of a geometry-optimized KCuS2N structure, from Alexandria.

Cell and atoms, written as extended XYZ:
```
5
Lattice="5.388 0.000 0.000 0.000 5.388 0.000 0.000 0.000 4.437" Properties=species:S:1:pos:R:3 pbc="T T T"
Cu 2.694 2.694 2.219
K 0.000 0.000 0.000
S 0.000 2.694 0.000
S 2.694 0.000 0.000
N 0.000 0.000 2.219
```

***

## x
The following is a PBE calculation of a geometry-optimized KCuS2N structure, from Alexandria.

Cell and atoms, written as extended XYZ:
```
5
Lattice="-0.768 -3.578 -3.273 4.061 -2.286 1.546 -2.070 -1.926 2.590" Properties=species:S:1:pos:R:3 pbc="T T T"
N -1.035 -0.963 1.295
S -0.384 -1.789 -1.637
S 2.031 -1.143 0.773
Cu 0.000 0.000 0.000
K 0.612 -3.895 0.432
```

***

Stability check: which of them is least stable? w.

***

## w
The following is a PBE calculation of a geometry-optimized KCuSN2 structure, from Alexandria.

Cell and atoms, written as extended XYZ:
```
5
Lattice="-3.017 -2.840 0.001 1.829 -1.944 -3.169 2.528 -2.685 3.107" Properties=species:S:1:pos:R:3 pbc="T T T"
N 0.914 -0.972 -1.584
N -1.508 -1.420 0.001
Cu 0.000 0.000 0.000
K 0.670 -3.734 -0.030
S 1.264 -1.343 1.553
```

***

## x
The following is a PBE calculation of a geometry-optimized KCuSN2 structure, from Alexandria.

Cell and atoms, written as extended XYZ:
```
5
Lattice="4.853 0.000 0.000 0.000 4.853 0.000 0.000 0.000 5.991" Properties=species:S:1:pos:R:3 pbc="T T T"
N 2.426 0.000 0.000
N 0.000 2.426 0.000
S 0.000 0.000 2.996
Cu 2.426 2.426 2.996
K 0.000 0.000 0.000
```

***

Stability check: which of them is least stable? x.

***

## w
The following is a PBE calculation of a geometry-optimized KCuSeN2 structure, from Alexandria.

Cell and atoms, written as extended XYZ:
```
5
Lattice="4.106 0.000 0.000 0.000 4.106 0.000 0.000 0.000 4.886" Properties=species:S:1:pos:R:3 pbc="T T T"
N 2.053 0.000 0.000
N 0.000 2.053 0.000
Se 0.000 0.000 2.443
K 2.053 2.053 2.443
Cu 0.000 0.000 0.000
```

***

## x
The following is a PBE calculation of a geometry-optimized KCuSeN2 structure, from Alexandria.

Cell and atoms, written as extended XYZ:
```
5
Lattice="4.258 0.000 0.000 0.000 4.258 0.000 0.000 0.000 6.151" Properties=species:S:1:pos:R:3 pbc="T T T"
N 2.129 0.000 0.000
N 0.000 2.129 0.000
Cu 2.129 2.129 3.075
Se 0.000 0.000 3.075
K 0.000 0.000 0.000
```

***

Stability check: which of them is least stable? x.